Record 1
LuAlGa: optimized geometry, PBE-GGA.

Properties
As for the formation energy from the elements: -527 meV per atom.

Cell: 4.4711 4.4711 3.3704 Å, 90.00 90.00 120.00°
With the nearest neighbours (Å) after each atom.
Space group P-6m2 (No. 187)
Symmetry-distinct sites (fractional):
Lu1 0.0000 0.0000 0.0000  6 Al 3.08, 6 Ga 3.08, 2 Lu 3.37
Al1 0.3333 0.6667 0.5000  3 Ga 2.58
Ga1 0.6667 0.3333 0.5000  3 Al 2.58


Record 2
LuAl2Ga: optimized geometry, PBE-GGA.

Properties
As for the formation energy from the elements: -425 meV per atom.

Cell: 4.1835 4.1835 4.2554 Å, 90.00 90.00 90.00°
With the nearest neighbours (Å) after each atom.
Space group P4/mmm (No. 123)
Symmetry-distinct sites (fractional):
Lu1 0.0000 0.0000 0.0000  4 Ga 2.96, 8 Al 2.98
Al1 0.0000 0.5000 0.5000  4 Al 2.96, 4 Lu 2.98, 4 Ga 2.98
Ga1 0.5000 0.5000 0.0000  4 Lu 2.96, 8 Al 2.98


Record 3
LuAlGa: optimized geometry, PBE-GGA.

Properties
As for the formation energy from the elements: -288 meV per atom.

Cell: 3.3141 3.3141 10.9962 Å, 90.00 90.00 90.00°
With the nearest neighbours (Å) after each atom.
Space group I4mm (No. 107)
Symmetry-distinct sites (fractional):
Lu1 0.0000 0.0000 0.0000  4 Ga 3.08, 5 Al 3.12-3.44, 4 Lu 3.31
Al1 0.0000 0.0000 0.6869  4 Ga 2.75
Ga1 0.0000 0.0000 0.3179  4 Al 2.75


Record 4
LuAl2Ga: optimized geometry, PBE-GGA.

Properties
As for the formation energy from the elements: -176 meV per atom.

Cell: 4.3296 4.3296 14.9784 Å, 90.00 90.00 120.00°
With the nearest neighbours (Å) after each atom.
Space group R-3m (No. 166, hexagonal axes)
Symmetry-distinct sites (fractional):
Lu1 0.0000 0.0000 0.0000  8 Al 3.05-3.24
Al1 0.0000 0.0000 0.2163  3 Ga 2.61, 3 Al 2.91
Ga1 0.0000 0.0000 0.5000  6 Al 2.61